# HfScNbIn PBE-GGA optimized geometry
# **Magnetic moment**: 0.09 μB/f.u.
# **Space-group type**: No. 216
# **Raw total energy**: -0.5376 Ry per atom
# **E_form**: -0.2 eV per formula unit
data_HfScNbIn
_cell_length_a 4.9085
_cell_length_b 4.9085
_cell_length_c 4.9085
_cell_angle_alpha 60.00
_cell_angle_beta 60.00
_cell_angle_gamma 60.00
_space_group_name_H-M_alt 'P 1'
_space_group_IT_number 1
_space_group_name_Hall 'P 1'
loop_
_atom_site_label
_atom_site_type_symbol
_atom_site_fract_x
_atom_site_fract_y
_atom_site_fract_z
Hf1 Hf 0.0000 0.0000 0.0000
Sc1 Sc 0.5000 0.5000 0.5000
Nb1 Nb 0.7500 0.7500 0.7500
In1 In 0.2500 0.2500 0.2500

# HfScNb2In PBE-GGA optimized geometry
# **Magnetic moment**: 0.00 μB/f.u.
# **Space-group type**: No. 123
# **Raw total energy**: -0.4857 Ry per atom
# **E_form**: 6.1 eV per formula unit
data_HfScNb2In
_cell_length_a 4.7050
_cell_length_b 4.7050
_cell_length_c 5.2036
_cell_angle_alpha 90.00
_cell_angle_beta 90.00
_cell_angle_gamma 90.00
_space_group_name_H-M_alt 'P 1'
_space_group_IT_number 1
_space_group_name_Hall 'P 1'
loop_
_atom_site_label
_atom_site_type_symbol
_atom_site_fract_x
_atom_site_fract_y
_atom_site_fract_z
Hf1 Hf 0.0000 0.0000 0.0000
Sc1 Sc 0.5000 0.5000 0.5000
Nb1 Nb 0.0000 0.5000 0.5000
Nb2 Nb 0.5000 0.0000 0.5000
In1 In 0.5000 0.5000 0.0000

# Hf2NbVIn PBE-GGA optimized geometry
# **Magnetic moment**: 0.00 μB/f.u.
# **Space-group type**: No. 123
# **Raw total energy**: -0.4778 Ry per atom
# **E_form**: 9.3 eV per formula unit
data_Hf2NbVIn
_cell_length_a 5.1321
_cell_length_b 5.1321
_cell_length_c 5.0220
_cell_angle_alpha 90.00
_cell_angle_beta 90.00
_cell_angle_gamma 90.00
_space_group_name_H-M_alt 'P 1'
_space_group_IT_number 1
_space_group_name_Hall 'P 1'
loop_
_atom_site_label
_atom_site_type_symbol
_atom_site_fract_x
_atom_site_fract_y
_atom_site_fract_z
Hf1 Hf 0.0000 0.5000 0.0000
Hf2 Hf 0.5000 0.0000 0.0000
Nb1 Nb 0.0000 0.0000 0.5000
V1 V 0.5000 0.5000 0.5000
In1 In 0.0000 0.0000 0.0000

# HfNbVIn PBE-GGA optimized geometry
# **Magnetic moment**: 1.02 μB/f.u.
# **Space-group type**: No. 216
# **Raw total energy**: -0.5802 Ry per atom
# **E_form**: 0.3 eV per formula unit
data_HfNbVIn
_cell_length_a 4.7427
_cell_length_b 4.7427
_cell_length_c 4.7427
_cell_angle_alpha 60.00
_cell_angle_beta 60.00
_cell_angle_gamma 60.00
_space_group_name_H-M_alt 'P 1'
_space_group_IT_number 1
_space_group_name_Hall 'P 1'
loop_
_atom_site_label
_atom_site_type_symbol
_atom_site_fract_x
_atom_site_fract_y
_atom_site_fract_z
Hf1 Hf 0.0000 0.0000 0.0000
Nb1 Nb 0.7500 0.7500 0.7500
V1 V 0.5000 0.5000 0.5000
In1 In 0.2500 0.2500 0.2500

# HfNbInW2 PBE-GGA optimized geometry
# **Magnetic moment**: 0.00 μB/f.u.
# **Space-group type**: No. 123
# **Raw total energy**: -0.5536 Ry per atom
# **E_form**: 11.0 eV per formula unit
data_HfNbInW2
_cell_length_a 4.7733
_cell_length_b 4.7733
_cell_length_c 5.1529
_cell_angle_alpha 90.00
_cell_angle_beta 90.00
_cell_angle_gamma 90.00
_space_group_name_H-M_alt 'P 1'
_space_group_IT_number 1
_space_group_name_Hall 'P 1'
loop_
_atom_site_label
_atom_site_type_symbol
_atom_site_fract_x
_atom_site_fract_y
_atom_site_fract_z
Hf1 Hf 0.0000 0.0000 0.0000
Nb1 Nb 0.5000 0.5000 0.5000
In1 In 0.0000 0.0000 0.5000
W1 W 0.0000 0.5000 0.0000
W2 W 0.5000 0.0000 0.0000

# HfZrNbIn PBE-GGA optimized geometry
# **Magnetic moment**: 0.00 μB/f.u.
# **Space-group type**: No. 216
# **Raw total energy**: -0.5802 Ry per atom
# **E_form**: -0.3 eV per formula unit
data_HfZrNbIn
_cell_length_a 4.9182
_cell_length_b 4.9182
_cell_length_c 4.9182
_cell_angle_alpha 60.00
_cell_angle_beta 60.00
_cell_angle_gamma 60.00
_space_group_name_H-M_alt 'P 1'
_space_group_IT_number 1
_space_group_name_Hall 'P 1'
loop_
_atom_site_label
_atom_site_type_symbol
_atom_site_fract_x
_atom_site_fract_y
_atom_site_fract_z
Hf1 Hf 0.0000 0.0000 0.0000
Zr1 Zr 0.5000 0.5000 0.5000
Nb1 Nb 0.7500 0.7500 0.7500
In1 In 0.2500 0.2500 0.2500

# NdHfIn PBE-GGA optimized geometry
# **Magnetic moment**: 0.57 μB/f.u.
# **Space-group type**: No. 12
# **Raw total energy**: -0.4413 Ry per atom
# **E_form**: -0.6 eV per formula unit
data_NdHfIn
_cell_length_a 4.4474
_cell_length_b 4.4474
_cell_length_c 9.0090
_cell_angle_alpha 104.22
_cell_angle_beta 104.22
_cell_angle_gamma 89.98
_space_group_name_H-M_alt 'P 1'
_space_group_IT_number 1
_space_group_name_Hall 'P 1'
loop_
_atom_site_label
_atom_site_type_symbol
_atom_site_fract_x
_atom_site_fract_y
_atom_site_fract_z
Nd1 Nd 0.1732 0.1732 0.3480
Nd2 Nd 0.8268 0.8268 0.6520
Hf1 Hf 0.0000 0.5000 0.0000
Hf2 Hf 0.5000 0.0000 0.0000
In1 In 0.3760 0.3760 0.7504
In2 In 0.6240 0.6240 0.2496

# NdHfIn6 PBE-GGA optimized geometry
# **Magnetic moment**: 0.00 μB/f.u.
# **Space-group type**: No. 123
# **Raw total energy**: -0.3053 Ry per atom
# **E_form**: -2.1 eV per formula unit
data_NdHfIn6
_cell_length_a 4.6336
_cell_length_b 4.6336
_cell_length_c 9.1265
_cell_angle_alpha 90.00
_cell_angle_beta 90.00
_cell_angle_gamma 90.00
_space_group_name_H-M_alt 'P 1'
_space_group_IT_number 1
_space_group_name_Hall 'P 1'
loop_
_atom_site_label
_atom_site_type_symbol
_atom_site_fract_x
_atom_site_fract_y
_atom_site_fract_z
Nd1 Nd 0.0000 0.0000 0.0000
Hf1 Hf 0.0000 0.0000 0.5000
In1 In 0.0000 0.5000 0.2628
In2 In 0.0000 0.5000 0.7372
In3 In 0.5000 0.0000 0.2628
In4 In 0.5000 0.0000 0.7372
In5 In 0.5000 0.5000 0.0000
In6 In 0.5000 0.5000 0.5000